Crystalline K2LiCuH4 at its relaxed geometry, computed with PBE.

The space group is Fddd (No. 70, origin choice 2) and the conventional cell measures 4.681, 11.128 and 20.128 Å, with angles of 90.00, 90.00 and 90.00 degrees. The distinct sites, in fractional coordinates, are K at (0.125, 0.125, 0.299), Li at (0.125, 0.125, 0.125), Cu at (0.125, 0.125, 0.625) and H at (0.097, 0.289, 0.831).

As for the energy: -2.923 eV/atom.